Entry from the Alexandria database: a crystal of Tl2Cd relaxed with PBEsol (SCAN).

It has space group P6_3/mmc (No. 194), with a = 5.3087 Å, b = 5.3087 Å, c = 6.4587 Å, α = 90.00°, β = 90.00° and γ = 120.00°. Symmetry generates all atoms from Tl at (0.0000, 0.0000, 0.0000), Tl at (0.3333, 0.6667, 0.2500) and Cd at (0.3333, 0.6667, 0.7500).

The total energy is -58.31 eV per atom. Its calculated volume is 157.6 Å³/cell. As for the density of states at the Fermi level: 2.93 states/eV/cell.